The following is a GGA+U calculation of an optimized crystal structure of V2O3, from Alexandria via LeMat-Bulk.

## Properties
Magnetization ... 0.800 μB per atom
Total energy ... -0.2866 hartree per atom

a = 5.2562 Å, b = 5.2562 Å, c = 15.8308 Å
α = 90.00°, β = 90.00°, γ = 146.25°
Element x y z (fractional)
V  0.6353  0.3647  0.5475
V  0.3647  0.6353  0.4525
V  0.6353  0.3647  0.9525
V  0.3647  0.6353  0.0475
V  0.0993  0.9007  0.1406
V  0.9007  0.0993  0.8594
V  0.9007  0.0993  0.6406
V  0.0993  0.9007  0.3594
O  0.0000  0.0000  0.0000
O  0.0000  0.0000  0.5000
O  0.4752  0.5248  0.3566
O  0.5248  0.4752  0.6434
O  0.5248  0.4752  0.8566
O  0.4752  0.5248  0.1434
O  0.7259  0.2741  0.4255
O  0.2741  0.7259  0.5745
O  0.2741  0.7259  0.9255
O  0.7259  0.2741  0.0745
O  0.1473  0.8527  0.2500
O  0.8527  0.1473  0.7500